[1]
Computed, not measured: crystalline K2Hf2O5 at its relaxed geometry at the PBE level of DFT.

Uncorrected formation energy = -2906 meV per atom
Space group = Pnna
Size of the total moment = 0.0 Bohr magnetons per cell
Energy = -8.12 eV/atom

The structure in extended XYZ format:
```
36
Lattice="5.850 0.000 0.000 0.000 8.821 0.000 0.000 0.000 10.743" Properties=species:S:1:pos:R:3 pbc="T T T"
O 4.388 2.831 0.000
O 0.751 8.386 9.600
O 2.174 8.386 1.143
O 4.388 6.600 0.000
O 1.463 2.190 5.371
O 3.676 3.975 6.515
O 2.900 2.205 2.686
O 0.025 2.205 8.057
O 0.751 4.845 6.515
O 1.463 5.990 0.000
O 5.825 6.616 2.686
O 5.099 0.435 1.143
O 5.099 3.975 4.228
O 2.950 6.616 8.057
O 2.174 4.845 4.228
O 1.463 2.220 0.000
O 4.388 6.631 5.371
O 4.388 1.579 5.371
O 3.676 0.435 9.600
O 1.463 7.241 5.371
Hf 3.118 1.402 0.820
Hf 5.658 1.402 9.923
Hf 2.733 7.419 9.923
Hf 2.733 5.812 6.192
Hf 0.193 5.812 4.551
Hf 0.193 7.419 0.820
Hf 5.658 3.008 6.192
Hf 3.118 3.008 4.551
K 0.392 3.729 1.787
K 5.458 5.092 8.956
K 2.533 3.729 8.956
K 5.458 8.139 7.159
K 0.392 0.681 3.584
K 3.317 5.092 1.787
K 2.533 0.681 7.159
K 3.317 8.139 3.584
```

***

[2]
Computed, not measured: crystalline YGaF3 at its relaxed geometry at the PBE level of DFT.

Energy above the lowest structure with this stoichiometry = 962 meV per atom
Uncorrected formation energy = -1822 meV per atom
Space group = Pm-3m
Size of the total moment = 1.0 Bohr magnetons per cell
Energy = -4.84 eV/atom

The structure in extended XYZ format:
```
5
Lattice="4.381 0.000 0.000 0.000 4.381 0.000 0.000 0.000 4.381" Properties=species:S:1:pos:R:3 pbc="T T T"
F 0.000 2.190 0.000
F 0.000 0.000 2.190
F 2.190 0.000 0.000
Ga 0.000 0.000 0.000
Y 2.190 2.190 2.190
```

***

[3]
Computed, not measured: crystalline YTc2P at its relaxed geometry at the PBE level of DFT.

Energy relative to the elements = 138.4 meV/atom
Space group = F-43m
Size of the total moment = 1.1 Bohr magnetons per cell
Energy = -8.01 eV/atom

The structure in extended XYZ format:
```
4
Lattice="0.000 3.226 3.226 3.226 0.000 3.226 3.226 3.226 0.000" Properties=species:S:1:pos:R:3 pbc="T T T"
Tc 1.613 1.613 1.613
Tc 0.000 0.000 0.000
P 3.226 3.226 3.226
Y 4.839 4.839 4.839
```

***

size of the total moment of number 3 (YTc2P)? 1.1 Bohr magnetons per cell

***

Which value of energy does entry 2 give? -4.84 eV/atom

***

Look up the size of the total moment of the second one. 1.0 Bohr magnetons per cell

***

Among the records above, which one has the highest size of the total moment? YTc2P